A relaxed structure of AlZnInF6. Source: Alexandria, functional GGA-PBE.

E ... -4.8456 eV per atom
Formation energy without anion corrections ... -2.736 eV per atom

abc: 7.2720 7.1553 7.2111
angles: 119.74 120.28 90.00
Last column: nearest neighbours and their distance in Å.
Fractional positions:
F 0.4564 0.7064 0.9127  2 Al 1.84
F 0.1999 0.9170 0.7567  1 Al 1.82
F 0.8001 0.0830 0.2433  1 Al 1.82
F 0.5569 0.3398 0.7567  1 Al 1.82
F 0.5569 0.9170 0.7567  1 Al 1.82
F 0.1564 0.9064 0.3128  2 Zn 2.05
F 0.8001 0.6602 0.2433  1 Al 1.82
F 0.5436 0.2936 0.0873  2 Al 1.84
F 0.4431 0.6602 0.2433  1 Al 1.82
F 0.1999 0.3398 0.7567  1 Al 1.82
F 0.4431 0.0830 0.2433  1 Al 1.82
F 0.8436 0.0936 0.6872  2 Zn 2.05
Al 0.5000 0.0000 0.0000  6 F 1.82-1.84
Al 0.5000 0.5000 0.0000  6 F 1.82-1.84
Zn 0.5000 0.0000 0.5000  6 F 2.05-2.07
Zn 0.0000 0.0000 0.5000  6 F 2.05-2.07
In 0.0958 0.3458 0.1916  1 F 2.57
In 0.9042 0.6542 0.8084  1 F 2.57